Record 1
Entry from Alexandria: a relaxed TiAl2VSb crystal (PBE).

The structure in CIF format:
```
data_TiAl2VSb
_space_group_name_H-M_alt 'P 4/m m m'
_space_group_IT_number 123
_space_group_name_Hall '-P 4 2'
_cell_length_a 5.054
_cell_length_b 5.054
_cell_length_c 5.028
_cell_angle_alpha 90.00
_cell_angle_beta 90.00
_cell_angle_gamma 90.00
loop_
_atom_site_label
_atom_site_type_symbol
_atom_site_fract_x
_atom_site_fract_y
_atom_site_fract_z
Ti1 Ti 0.000 0.000 0.000
Al1 Al 0.000 0.500 0.500
V1 V 0.500 0.500 0.000
Sb1 Sb 0.000 0.000 0.500
```

Calculated values
raw formation energy: 1494 meV/atom
volume: 128 Å³/f.u.
density of states at the Fermi level: 7.54 states/eV/f.u.
uncorrected energy: -21.152 eV/cell

Record 2
Entry from Alexandria: a relaxed Al2TlSb crystal (PBE).

The structure in CIF format:
```
data_Al2TlSb
_space_group_name_H-M_alt 'F m -3 m'
_space_group_IT_number 225
_space_group_name_Hall '-F 4 2 3'
_cell_length_a 7.239
_cell_length_b 7.239
_cell_length_c 7.239
_cell_angle_alpha 90.00
_cell_angle_beta 90.00
_cell_angle_gamma 90.00
loop_
_atom_site_label
_atom_site_type_symbol
_atom_site_fract_x
_atom_site_fract_y
_atom_site_fract_z
Al1 Al 0.250 0.250 0.250
Tl1 Tl 0.000 0.000 0.000
Sb1 Sb 0.000 0.000 0.500
```

Calculated values
raw formation energy: 264 meV/atom
volume: 95 Å³/f.u.
density of states at the Fermi level: 2.30 states/eV/f.u.
uncorrected energy: -51.669 eV/cell

Record 3
Entry from Alexandria: a relaxed Al2TlSb crystal (PBE).

The structure in CIF format:
```
data_Al2TlSb
_space_group_name_H-M_alt 'P 4/m m m'
_space_group_IT_number 123
_space_group_name_Hall '-P 4 2'
_cell_length_a 4.841
_cell_length_b 4.841
_cell_length_c 4.026
_cell_angle_alpha 90.00
_cell_angle_beta 90.00
_cell_angle_gamma 90.00
loop_
_atom_site_label
_atom_site_type_symbol
_atom_site_fract_x
_atom_site_fract_y
_atom_site_fract_z
Al1 Al 0.000 0.500 0.000
Tl1 Tl 0.000 0.000 0.500
Sb1 Sb 0.500 0.500 0.500
```

Calculated values
raw formation energy: 251 meV/atom
volume: 94 Å³/f.u.
density of states at the Fermi level: 1.62 states/eV/f.u.
uncorrected energy: -12.970 eV/cell